No. 1
Ac2HfRuS6 GGA-PBE relaxed; uncorrected energy = -6.665 eV/atom; total magnetization = 0.00 μB per formula unit; mass density = 6.8 Mg/m³; formation energy (no corrections) = -33.30 kcal/mol of atoms
1.0
6.686 0.000 0.000
0.000 7.013 0.000
0.000 0.000 9.611
Ac Hf Ru S
4 2 2 12
Direct
0.500 0.791 0.269
0.000 0.209 0.769
0.500 0.791 0.731
0.000 0.209 0.231
0.500 0.283 0.500
0.000 0.717 0.000
0.000 0.758 0.500
0.500 0.242 0.000
0.500 0.218 0.245
0.500 0.218 0.755
0.000 0.782 0.255
0.000 0.782 0.745
0.248 0.003 0.500
0.752 0.003 0.500
0.244 0.522 0.500
0.756 0.522 0.500
0.744 0.478 0.000
0.256 0.478 0.000
0.252 0.997 0.000
0.748 0.997 0.000



No. 2
AcHfS2 GGA-PBE relaxed; uncorrected energy = -7.114 eV/atom; total magnetization = 0.00 μB per formula unit; mass density = 8.9 Mg/m³; formation energy (no corrections) = -35.40 kcal/mol of atoms
1.0
3.914 0.000 0.000
1.957 3.389 0.000
1.957 1.130 6.610
Ac Hf S
1 1 2
Direct
0.500 0.500 0.500
0.000 0.000 0.000
0.734 0.734 0.797
0.266 0.266 0.203



No. 3
AcHfS GGA-PBE relaxed; uncorrected energy = -6.543 eV/atom; total magnetization = 0.00 μB per formula unit; mass density = 8.9 Mg/m³; formation energy (no corrections) = -11.07 kcal/mol of atoms
1.0
7.363 0.000 0.000
3.681 6.330 0.000
3.681 0.000 7.045
Ac Hf S
4 4 4
Direct
0.124 0.500 0.751
0.376 0.500 0.249
0.626 0.000 0.749
0.374 0.000 0.251
0.626 0.500 0.748
0.874 0.500 0.252
0.124 0.000 0.752
0.876 0.000 0.248
0.897 0.207 0.500
0.603 0.793 0.500
0.853 0.293 0.000
0.147 0.707 0.000



No. 4
Ac2Hf2S7 GGA-PBE relaxed; uncorrected energy = -6.904 eV/atom; total magnetization = 0.00 μB per formula unit; mass density = 4.7 Mg/m³; formation energy (no corrections) = -39.67 kcal/mol of atoms
1.0
6.887 0.025 0.037
-0.721 7.601 -0.250
-0.721 -2.903 7.029
Ac Hf S
2 2 7
Direct
0.500 0.316 0.684
0.500 0.684 0.316
0.891 0.260 0.260
0.109 0.740 0.740
0.286 0.941 0.612
0.714 0.388 0.059
0.714 0.059 0.388
0.286 0.612 0.941
0.000 0.000 0.000
0.780 0.564 0.564
0.220 0.436 0.436



What is the uncorrected energy in the third record?
-6.543 eV/atom